VASP calculation (PBE+U) on Mg6NiCO8 after structural relaxation.

Lattice parameters (Å, degrees): 4.2134 4.2134 8.4980 90.00 90.00 90.00
Closest atoms and distances in Å follow each position.
Element x y z (fractional)
O  0.5000  0.0000  0.0000  2 Mg 2.08, 2 Ni 2.11, 2 C 2.11
O  0.0000  0.0000  0.7517  5 Mg 2.11-2.14, 1 Ni 2.11
O  0.0000  0.5000  0.0000  2 Mg 2.08, 2 Ni 2.11, 2 C 2.11
O  0.0000  0.0000  0.2483  5 Mg 2.11-2.14, 1 Ni 2.11
O  0.5000  0.5000  0.7505  5 Mg 2.11-2.13, 1 C 2.12
O  0.5000  0.0000  0.5000  6 Mg 2.11-2.17
O  0.5000  0.5000  0.2495  5 Mg 2.11-2.13, 1 C 2.12
O  0.0000  0.5000  0.5000  6 Mg 2.11-2.17
Mg  0.5000  0.5000  0.5000  6 O 2.11-2.13
Mg  0.0000  0.0000  0.5000  6 O 2.11-2.14
Mg  0.0000  0.5000  0.7555  6 O 2.08-2.17
Mg  0.5000  0.0000  0.7555  6 O 2.08-2.17
Mg  0.0000  0.5000  0.2445  6 O 2.08-2.17
Mg  0.5000  0.0000  0.2445  6 O 2.08-2.17
C  0.5000  0.5000  0.0000  6 O 2.11-2.12
Ni  0.0000  0.0000  0.0000  6 O 2.11

Calculated values
The calculation puts the energy relative to the lowest polymorph listed for this composition at 7 meV per atom. The total magnetic moment comes out at 2.01 μB/f.u.


VASP calculation (PBE+U) on Mg6NiCO8 after structural relaxation.

Lattice parameters (Å, degrees): 4.2135 4.2135 8.4895 90.00 90.00 90.00
Closest atoms and distances in Å follow each position.
Element x y z (fractional)
O  0.0000  0.5000  0.0000  4 Mg 2.11-2.15, 2 Ni 2.11
O  0.5000  0.5000  0.2515  6 Mg 2.11-2.14
O  0.0000  0.5000  0.5000  4 Mg 2.10-2.11, 2 C 2.11
O  0.5000  0.0000  0.0000  4 Mg 2.11-2.15, 2 Ni 2.11
O  0.0000  0.0000  0.7496  4 Mg 2.11, 1 C 2.12, 1 Ni 2.13
O  0.0000  0.0000  0.2504  4 Mg 2.11, 1 C 2.12, 1 Ni 2.13
O  0.5000  0.5000  0.7485  6 Mg 2.11-2.14
O  0.5000  0.0000  0.5000  4 Mg 2.10-2.11, 2 C 2.11
Mg  0.5000  0.5000  0.5000  6 O 2.11
Mg  0.5000  0.0000  0.2527  6 O 2.10-2.15
Mg  0.0000  0.5000  0.7473  6 O 2.10-2.15
Mg  0.0000  0.5000  0.2527  6 O 2.10-2.15
Mg  0.5000  0.0000  0.7473  6 O 2.10-2.15
Mg  0.5000  0.5000  0.0000  6 O 2.11-2.14
Ni  0.0000  0.0000  0.0000  6 O 2.11-2.13
C  0.0000  0.0000  0.5000  6 O 2.11-2.12

Calculated values
The calculation puts the energy relative to the lowest polymorph listed for this composition at 0 meV per atom. The total magnetic moment comes out at 2.00 μB/f.u.